Computed, not measured: a geometry-optimized LiZrBe2Cu structure at the PBE level of DFT.

Structure (CIF):
```
data_LiZrBe2Cu
_cell_length_a 4.1936
_cell_length_b 4.1936
_cell_length_c 4.8143
_cell_angle_alpha 90.00
_cell_angle_beta 90.00
_cell_angle_gamma 90.00
_symmetry_space_group_name_H-M 'P 1'
_symmetry_Int_Tables_number 1
loop_
_symmetry_equiv_pos_as_xyz
'x,y,z'
loop_
_atom_site_label
_atom_site_type_symbol
_atom_site_fract_x
_atom_site_fract_y
_atom_site_fract_z
Li1 Li 0.0000 0.0000 0.0000
Zr1 Zr 0.5000 0.5000 0.0000
Be1 Be 0.0000 0.5000 0.5000
Be2 Be 0.5000 0.0000 0.5000
Cu1 Cu 0.5000 0.5000 0.5000
```

Calculated values
The calculation puts the raw total energy at -19.07 eV per formula unit. The crystal system is tetragonal. The energy relative to the elements is 0.5887 eV/atom.

---

Computed, not measured: a geometry-optimized Lu2BeCu structure at the PBE level of DFT.

Structure (CIF):
```
data_Lu2BeCu
_cell_length_a 3.3566
_cell_length_b 3.3566
_cell_length_c 6.7278
_cell_angle_alpha 90.00
_cell_angle_beta 90.00
_cell_angle_gamma 90.00
_symmetry_space_group_name_H-M 'P 1'
_symmetry_Int_Tables_number 1
loop_
_symmetry_equiv_pos_as_xyz
'x,y,z'
loop_
_atom_site_label
_atom_site_type_symbol
_atom_site_fract_x
_atom_site_fract_y
_atom_site_fract_z
Lu1 Lu 0.0000 0.0000 0.2455
Lu2 Lu 0.0000 0.0000 0.7545
Be1 Be 0.5000 0.5000 0.0000
Cu1 Cu 0.5000 0.5000 0.5000
```

Calculated values
The calculation puts the raw total energy at -17.38 eV per formula unit. Its offset from the most stable computed form is 0 meV/atom. The crystal system is tetragonal. The energy relative to the elements is -0.1278 eV/atom.

---

Computed, not measured: a geometry-optimized LuBeCu structure at the PBE level of DFT.

Structure (CIF):
```
data_LuBeCu
_cell_length_a 4.0198
_cell_length_b 4.0198
_cell_length_c 3.5240
_cell_angle_alpha 90.00
_cell_angle_beta 90.00
_cell_angle_gamma 120.00
_symmetry_space_group_name_H-M 'P 1'
_symmetry_Int_Tables_number 1
loop_
_symmetry_equiv_pos_as_xyz
'x,y,z'
loop_
_atom_site_label
_atom_site_type_symbol
_atom_site_fract_x
_atom_site_fract_y
_atom_site_fract_z
Lu1 Lu 0.0000 0.0000 0.0000
Be1 Be 0.6667 0.3333 0.5000
Cu1 Cu 0.3333 0.6667 0.5000
```

Calculated values
The calculation puts the raw total energy at -12.81 eV per formula unit. The crystal system is hexagonal. The energy relative to the elements is -0.1542 eV/atom.

---

Computed, not measured: a geometry-optimized Lu2BeCu structure at the PBE level of DFT.

Structure (CIF):
```
data_Lu2BeCu
_cell_length_a 6.7261
_cell_length_b 6.7261
_cell_length_c 6.7261
_cell_angle_alpha 90.00
_cell_angle_beta 90.00
_cell_angle_gamma 90.00
_symmetry_space_group_name_H-M 'P 1'
_symmetry_Int_Tables_number 1
loop_
_symmetry_equiv_pos_as_xyz
'x,y,z'
loop_
_atom_site_label
_atom_site_type_symbol
_atom_site_fract_x
_atom_site_fract_y
_atom_site_fract_z
Lu1 Lu 0.2500 0.2500 0.2500
Lu2 Lu 0.2500 0.2500 0.7500
Lu3 Lu 0.2500 0.7500 0.2500
Lu4 Lu 0.2500 0.7500 0.7500
Lu5 Lu 0.7500 0.2500 0.2500
Lu6 Lu 0.7500 0.2500 0.7500
Lu7 Lu 0.7500 0.7500 0.2500
Lu8 Lu 0.7500 0.7500 0.7500
Be1 Be 0.0000 0.0000 0.0000
Be2 Be 0.0000 0.5000 0.5000
Be3 Be 0.5000 0.0000 0.5000
Be4 Be 0.5000 0.5000 0.0000
Cu1 Cu 0.0000 0.0000 0.5000
Cu2 Cu 0.0000 0.5000 0.0000
Cu3 Cu 0.5000 0.0000 0.0000
Cu4 Cu 0.5000 0.5000 0.5000
```

Calculated values
The calculation puts the raw total energy at -17.32 eV per formula unit. Its offset from the most stable computed form is 14 meV/atom. The crystal system is cubic. The energy relative to the elements is -0.1133 eV/atom.

---

Computed, not measured: a geometry-optimized LuBeCu3 structure at the PBE level of DFT.

Structure (CIF):
```
data_LuBeCu3
_cell_length_a 4.1901
_cell_length_b 4.1901
_cell_length_c 4.1901
_cell_angle_alpha 90.00
_cell_angle_beta 90.00
_cell_angle_gamma 90.00
_symmetry_space_group_name_H-M 'P 1'
_symmetry_Int_Tables_number 1
loop_
_symmetry_equiv_pos_as_xyz
'x,y,z'
loop_
_atom_site_label
_atom_site_type_symbol
_atom_site_fract_x
_atom_site_fract_y
_atom_site_fract_z
Lu1 Lu 0.0000 0.0000 0.0000
Be1 Be 0.5000 0.5000 0.5000
Cu1 Cu 0.0000 0.5000 0.5000
Cu2 Cu 0.5000 0.0000 0.5000
Cu3 Cu 0.5000 0.5000 0.0000
```

Calculated values
The calculation puts the raw total energy at -20.71 eV per formula unit. The crystal system is cubic. The energy relative to the elements is -0.0345 eV/atom.

---

Computed, not measured: a geometry-optimized PmLuBeCu structure at the PBE level of DFT.

Structure (CIF):
```
data_PmLuBeCu
_cell_length_a 6.9125
_cell_length_b 6.9125
_cell_length_c 6.9125
_cell_angle_alpha 90.00
_cell_angle_beta 90.00
_cell_angle_gamma 90.00
_symmetry_space_group_name_H-M 'P 1'
_symmetry_Int_Tables_number 1
loop_
_symmetry_equiv_pos_as_xyz
'x,y,z'
loop_
_atom_site_label
_atom_site_type_symbol
_atom_site_fract_x
_atom_site_fract_y
_atom_site_fract_z
Pm1 Pm 0.0000 0.0000 0.0000
Pm2 Pm 0.0000 0.5000 0.5000
Pm3 Pm 0.5000 0.0000 0.5000
Pm4 Pm 0.5000 0.5000 0.0000
Lu1 Lu 0.0000 0.0000 0.5000
Lu2 Lu 0.0000 0.5000 0.0000
Lu3 Lu 0.5000 0.0000 0.0000
Lu4 Lu 0.5000 0.5000 0.5000
Be1 Be 0.2500 0.2500 0.7500
Be2 Be 0.2500 0.7500 0.2500
Be3 Be 0.7500 0.2500 0.2500
Be4 Be 0.7500 0.7500 0.7500
Cu1 Cu 0.2500 0.2500 0.2500
Cu2 Cu 0.2500 0.7500 0.7500
Cu3 Cu 0.7500 0.2500 0.7500
Cu4 Cu 0.7500 0.7500 0.2500
```

Calculated values
The calculation puts the raw total energy at -17.25 eV per formula unit. The crystal system is cubic. The energy relative to the elements is -0.0399 eV/atom.

---

Computed, not measured: a geometry-optimized LuScBeCu structure at the PBE level of DFT.

Structure (CIF):
```
data_LuScBeCu
_cell_length_a 6.5940
_cell_length_b 6.5940
_cell_length_c 6.5940
_cell_angle_alpha 90.00
_cell_angle_beta 90.00
_cell_angle_gamma 90.00
_symmetry_space_group_name_H-M 'P 1'
_symmetry_Int_Tables_number 1
loop_
_symmetry_equiv_pos_as_xyz
'x,y,z'
loop_
_atom_site_label
_atom_site_type_symbol
_atom_site_fract_x
_atom_site_fract_y
_atom_site_fract_z
Lu1 Lu 0.0000 0.0000 0.0000
Lu2 Lu 0.0000 0.5000 0.5000
Lu3 Lu 0.5000 0.0000 0.5000
Lu4 Lu 0.5000 0.5000 0.0000
Sc1 Sc 0.0000 0.0000 0.5000
Sc2 Sc 0.0000 0.5000 0.0000
Sc3 Sc 0.5000 0.0000 0.0000
Sc4 Sc 0.5000 0.5000 0.5000
Be1 Be 0.2500 0.2500 0.2500
Be2 Be 0.2500 0.7500 0.7500
Be3 Be 0.7500 0.2500 0.7500
Be4 Be 0.7500 0.7500 0.2500
Cu1 Cu 0.2500 0.2500 0.7500
Cu2 Cu 0.2500 0.7500 0.2500
Cu3 Cu 0.7500 0.2500 0.2500
Cu4 Cu 0.7500 0.7500 0.7500
```

Calculated values
The calculation puts the raw total energy at -19.13 eV per formula unit. The crystal system is cubic. The energy relative to the elements is -0.1135 eV/atom.

---

Computed, not measured: a geometry-optimized LuThBeCu structure at the PBE level of DFT.

Structure (CIF):
```
data_LuThBeCu
_cell_length_a 6.9501
_cell_length_b 6.9501
_cell_length_c 6.9501
_cell_angle_alpha 90.00
_cell_angle_beta 90.00
_cell_angle_gamma 90.00
_symmetry_space_group_name_H-M 'P 1'
_symmetry_Int_Tables_number 1
loop_
_symmetry_equiv_pos_as_xyz
'x,y,z'
loop_
_atom_site_label
_atom_site_type_symbol
_atom_site_fract_x
_atom_site_fract_y
_atom_site_fract_z
Lu1 Lu 0.0000 0.0000 0.0000
Lu2 Lu 0.0000 0.5000 0.5000
Lu3 Lu 0.5000 0.0000 0.5000
Lu4 Lu 0.5000 0.5000 0.0000
Th1 Th 0.0000 0.0000 0.5000
Th2 Th 0.0000 0.5000 0.0000
Th3 Th 0.5000 0.0000 0.0000
Th4 Th 0.5000 0.5000 0.5000
Be1 Be 0.2500 0.2500 0.7500
Be2 Be 0.2500 0.7500 0.2500
Be3 Be 0.7500 0.2500 0.2500
Be4 Be 0.7500 0.7500 0.7500
Cu1 Cu 0.2500 0.2500 0.2500
Cu2 Cu 0.2500 0.7500 0.7500
Cu3 Cu 0.7500 0.2500 0.7500
Cu4 Cu 0.7500 0.7500 0.2500
```

Calculated values
The calculation puts the raw total energy at -19.68 eV per formula unit. The crystal system is cubic. The energy relative to the elements is 0.0198 eV/atom.

---

Q: The lowest energy relative to the elements belongs to which entry?
A: LuBeCu

---

Q: energy relative to the elements of number 3 (LuBeCu)?
A: -0.1542 eV/atom

---

Q: Which of these has the lowest raw total energy?
A: LuBeCu3